No. 1
Entry from the Alexandria database: Ca2GaB after structural relaxation (PBE-GGA).

The space group is Fm-3m (No. 225) and the conventional cell measures 6.961, 6.961 and 6.961 Å, with angles of 90.00, 90.00 and 90.00 degrees. The inequivalent atoms are Ca at (0.250, 0.250, 0.250), Ga at (0.000, 0.000, 0.000) and B at (0.000, 0.000, 0.500).

As for the total energy: -0.117 hartree per atom. The crystal system is cubic. As for the energy of formation from the pure elements: 0.23 eV per atom. As for the total magnetization: 0.000 μB per atom.

***

No. 2
Entry from the Alexandria database: Ca2GaHgB after structural relaxation (PBE-GGA).

The space group is P4/mmm (No. 123) and the conventional cell measures 5.367, 5.367 and 4.237 Å, with angles of 90.00, 90.00 and 90.00 degrees. The inequivalent atoms are Ca at (0.000, 0.500, 0.000), Ga at (0.000, 0.000, 0.500), Hg at (0.500, 0.500, 0.500) and B at (0.500, 0.500, 0.000).

As for the total energy: -0.101 hartree per atom. The crystal system is tetragonal. As for the energy of formation from the pure elements: 0.05 eV per atom. As for the total magnetization: 0.000 μB per atom.

***

No. 3
Entry from the Alexandria database: Ca2GaB2Ir5 after structural relaxation (PBE-GGA).

The space group is P4/mbm (No. 127) and the conventional cell measures 9.772, 9.772 and 2.994 Å, with angles of 90.00, 90.00 and 90.00 degrees. The inequivalent atoms are Ca at (0.178, 0.322, 0.000), Ga at (0.000, 0.000, 0.000), B at (0.123, 0.623, 0.000), Ir at (0.000, 0.500, 0.500) and Ir at (0.067, 0.781, 0.500).

As for the total energy: -0.256 hartree per atom. The crystal system is tetragonal. As for the energy of formation from the pure elements: -0.51 eV per atom. As for the total magnetization: 0.000 μB per atom.

***

No. 4
Entry from the Alexandria database: CaMgGa2B after structural relaxation (PBE-GGA).

The space group is P4/mmm (No. 123) and the conventional cell measures 4.916, 4.916 and 5.841 Å, with angles of 90.00, 90.00 and 90.00 degrees. The inequivalent atoms are Ca at (0.000, 0.000, 0.000), Mg at (0.000, 0.000, 0.500), Ga at (0.000, 0.500, 0.500) and B at (0.500, 0.500, 0.000).

As for the total energy: -0.076 hartree per atom. The crystal system is tetragonal. As for the energy of formation from the pure elements: 1.18 eV per atom. As for the total magnetization: 0.000 μB per atom.

***

No. 5
Entry from the Alexandria database: Ca2GaNi5B2 after structural relaxation (PBE-GGA).

The space group is P4/mbm (No. 127) and the conventional cell measures 9.205, 9.205 and 3.019 Å, with angles of 90.00, 90.00 and 90.00 degrees. The inequivalent atoms are Ca at (0.180, 0.320, 0.000), Ga at (0.000, 0.000, 0.000), Ni at (0.000, 0.500, 0.500), Ni at (0.067, 0.768, 0.500) and B at (0.117, 0.617, 0.000).

As for the total energy: -0.190 hartree per atom. The crystal system is tetragonal. As for the energy of formation from the pure elements: -0.25 eV per atom. As for the total magnetization: 0.000 μB per atom.

***

No. 6
Entry from the Alexandria database: CaGa3B4O12 after structural relaxation (PBE-GGA).

The space group is R32 (No. 155, hexagonal axes) and the conventional cell measures 9.5441, 9.5441 and 7.6661 Å, with angles of 90.00, 90.00 and 120.00 degrees. The inequivalent atoms are Ca at (0.0000, 0.0000, 0.0000), Ga at (0.0000, 0.5515, 0.0000), B at (0.0000, 0.0000, 0.5000), B at (0.0000, 0.4446, 0.5000), O at (0.0000, 0.5908, 0.5000), O at (0.0000, 0.8552, 0.5000) and O at (0.0277, 0.2149, 0.1884).

As for the total energy: -0.260 hartree per atom. The crystal system is trigonal. As for the total magnetization: 0.046 μB per atom.

***

No. 7
Entry from the Alexandria database: CaGaBO4 after structural relaxation (PBE-GGA).

The space group is Cmcm (No. 63) and the conventional cell measures 5.968, 8.834 and 5.832 Å, with angles of 90.00, 90.00 and 90.00 degrees. The inequivalent atoms are Ca at (0.000, 0.000, 0.000), Ga at (0.000, 0.360, 0.250), B at (0.000, 0.361, 0.750), O at (0.000, 0.264, 0.540) and O at (0.200, 0.470, 0.750).

As for the total energy: -0.251 hartree per atom. The crystal system is orthorhombic. As for the total magnetization: 0.000 μB per atom.

***

No. 8
Entry from the Alexandria database: CaGa2BO6 after structural relaxation (PBE-GGA).

The space group is C2/c (No. 15) and the conventional cell measures 10.638, 8.831 and 6.014 Å, with angles of 90.00, 119.45 and 90.00 degrees. The inequivalent atoms are Ca at (0.000, 0.179, 0.250), Ga at (0.200, 0.429, 0.134), B at (0.000, 0.175, 0.750), O at (0.093, 0.257, 0.984), O at (0.096, 0.077, 0.696) and O at (0.162, 0.416, 0.406).

As for the total energy: -0.239 hartree per atom. The crystal system is monoclinic. As for the total magnetization: 0.104 μB per atom.

***

No. 9
Entry from the Alexandria database: Ca2GaBO5 after structural relaxation (PBE-GGA).

The space group is Cmc2_1 (No. 36) and the conventional cell measures 3.024, 13.207 and 10.009 Å, with angles of 90.00, 90.00 and 90.00 degrees. The inequivalent atoms are Ca at (0.000, 0.108, 0.000), Ca at (0.000, 0.134, 0.667), Ga at (0.000, 0.197, 0.374), B at (0.000, 0.437, 0.744), O at (0.000, 0.045, 0.331), O at (0.000, 0.299, 0.002), O at (0.000, 0.329, 0.727), O at (0.000, 0.340, 0.342) and O at (0.000, 0.496, 0.629).

As for the total energy: -0.247 hartree per atom. The crystal system is orthorhombic. As for the total magnetization: 0.000 μB per atom.

***

No. 10
Entry from the Alexandria database: CaGaBO4 after structural relaxation (PBE-GGA).

The space group is Ccc2 (No. 37) and the conventional cell measures 8.448, 15.557 and 5.910 Å, with angles of 90.00, 90.00 and 90.00 degrees. The inequivalent atoms are Ca at (0.141, 0.092, 0.000), Ga at (0.016, 0.297, 0.727), B at (0.240, 0.393, 0.461), O at (0.038, 0.231, 0.982), O at (0.128, 0.057, 0.429), O at (0.154, 0.373, 0.267) and O at (0.195, 0.367, 0.678).

As for the total energy: -0.258 hartree per atom. The crystal system is orthorhombic. As for the total magnetization: 0.000 μB per atom.

***

No. 11
Entry from the Alexandria database: Ca2GaBPt6 after structural relaxation (PBE-GGA).

The space group is R-3m (No. 166, hexagonal axes) and the conventional cell measures 5.6820, 5.6820 and 19.4905 Å, with angles of 90.00, 90.00 and 120.00 degrees. The inequivalent atoms are Ca at (0.0000, 0.0000, 0.2109), Ga at (0.0000, 0.0000, 0.5000), B at (0.0000, 0.0000, 0.0000) and Pt at (0.0132, 0.5066, 0.2699).

As for the total energy: -0.211 hartree per atom. The crystal system is trigonal. As for the energy of formation from the pure elements: -0.76 eV per atom. As for the total magnetization: 0.000 μB per atom.

***

No. 12
Entry from the Alexandria database: Ca2GaB3Pt12 after structural relaxation (PBE-GGA).

The space group is R-3m (No. 166, hexagonal axes) and the conventional cell measures 7.9439, 7.9439 and 17.3414 Å, with angles of 90.00, 90.00 and 120.00 degrees. The inequivalent atoms are Ca at (0.0000, 0.0000, 0.1017), Ga at (0.0000, 0.0000, 0.5000), B at (0.0000, 0.5000, 0.0000), Pt at (0.0023, 0.5011, 0.8786) and Pt at (0.0595, 0.5297, 0.3537).

As for the total energy: -0.217 hartree per atom. The crystal system is trigonal. As for the energy of formation from the pure elements: -0.37 eV per atom. As for the total magnetization: 0.000 μB per atom.

***

No. 13
Entry from the Alexandria database: CaGaBRh3 after structural relaxation (PBE-GGA).

The space group is Cmcm (No. 63) and the conventional cell measures 5.749, 12.169 and 5.802 Å, with angles of 90.00, 90.00 and 90.00 degrees. The inequivalent atoms are Ca at (0.000, 0.245, 0.250), Ga at (0.000, 0.126, 0.750), B at (0.000, 0.492, 0.750), Rh at (0.000, 0.324, 0.750) and Rh at (0.248, 0.000, 0.000).

As for the total energy: -0.223 hartree per atom. The crystal system is orthorhombic. As for the energy of formation from the pure elements: -0.45 eV per atom. As for the total magnetization: 0.000 μB per atom.

***

No. 14
Entry from the Alexandria database: CaGaB2Rh after structural relaxation (PBE-GGA).

The space group is P4/mmm (No. 123) and the conventional cell measures 4.044, 4.044 and 5.367 Å, with angles of 90.00, 90.00 and 90.00 degrees. The inequivalent atoms are Ca at (0.000, 0.000, 0.000), Ga at (0.000, 0.000, 0.500), B at (0.000, 0.500, 0.500) and Rh at (0.500, 0.500, 0.000).

As for the total energy: -0.140 hartree per atom. The crystal system is tetragonal. As for the energy of formation from the pure elements: 1.32 eV per atom. As for the total magnetization: 0.000 μB per atom.

***

No. 15
Entry from the Alexandria database: Ca2GaB2Rh5 after structural relaxation (PBE-GGA).

The space group is P4/mbm (No. 127) and the conventional cell measures 9.709, 9.709 and 3.002 Å, with angles of 90.00, 90.00 and 90.00 degrees. The inequivalent atoms are Ca at (0.177, 0.323, 0.000), Ga at (0.000, 0.000, 0.000), B at (0.123, 0.623, 0.000), Rh at (0.000, 0.500, 0.500) and Rh at (0.068, 0.781, 0.500).

As for the total energy: -0.233 hartree per atom. The crystal system is tetragonal. As for the energy of formation from the pure elements: -0.63 eV per atom. As for the total magnetization: 0.000 μB per atom.

***

No. 16
Entry from the Alexandria database: CaGaBRu2 after structural relaxation (PBE-GGA).

The space group is P4/mmm (No. 123) and the conventional cell measures 4.154, 4.154 and 4.581 Å, with angles of 90.00, 90.00 and 90.00 degrees. The inequivalent atoms are Ca at (0.000, 0.000, 0.000), Ga at (0.500, 0.500, 0.000), B at (0.000, 0.000, 0.500) and Ru at (0.000, 0.500, 0.500).

As for the total energy: -0.219 hartree per atom. The crystal system is tetragonal. As for the energy of formation from the pure elements: 0.10 eV per atom. As for the total magnetization: 0.000 μB per atom.

***

No. 17
Entry from the Alexandria database: Ca2GaB2Ru5 after structural relaxation (PBE-GGA).

The space group is P4/mbm (No. 127) and the conventional cell measures 9.728, 9.728 and 3.001 Å, with angles of 90.00, 90.00 and 90.00 degrees. The inequivalent atoms are Ca at (0.177, 0.323, 0.000), Ga at (0.000, 0.000, 0.000), B at (0.123, 0.623, 0.000), Ru at (0.000, 0.500, 0.500) and Ru at (0.067, 0.781, 0.500).

As for the total energy: -0.251 hartree per atom. The crystal system is tetragonal. As for the energy of formation from the pure elements: -0.15 eV per atom. As for the total magnetization: 0.000 μB per atom.

***

No. 18
Entry from the Alexandria database: Ca2GaBS after structural relaxation (PBE-GGA).

The space group is P4/mmm (No. 123) and the conventional cell measures 5.559, 5.559 and 3.742 Å, with angles of 90.00, 90.00 and 90.00 degrees. The inequivalent atoms are Ca at (0.000, 0.500, 0.000), Ga at (0.000, 0.000, 0.000), B at (0.000, 0.000, 0.500) and S at (0.500, 0.500, 0.500).

As for the total energy: -0.140 hartree per atom. The crystal system is tetragonal. As for the total magnetization: 0.000 μB per atom.

***

No. 19
Entry from the Alexandria database: Ca2GaBSe after structural relaxation (PBE-GGA).

The space group is P4/mmm (No. 123) and the conventional cell measures 5.348, 5.348 and 3.873 Å, with angles of 90.00, 90.00 and 90.00 degrees. The inequivalent atoms are Ca at (0.000, 0.500, 0.000), Ga at (0.000, 0.000, 0.500), B at (0.000, 0.000, 0.000) and Se at (0.500, 0.500, 0.500).

As for the total energy: -0.150 hartree per atom. The crystal system is tetragonal. As for the total magnetization: 0.000 μB per atom.

***

No. 20
Entry from the Alexandria database: CaTaGaB2 after structural relaxation (PBE-GGA).

The space group is P4/mmm (No. 123) and the conventional cell measures 4.408, 4.408 and 4.895 Å, with angles of 90.00, 90.00 and 90.00 degrees. The inequivalent atoms are Ca at (0.000, 0.000, 0.000), Ta at (0.500, 0.500, 0.500), Ga at (0.500, 0.500, 0.000) and B at (0.000, 0.500, 0.500).

As for the total energy: -0.204 hartree per atom. The crystal system is tetragonal. As for the energy of formation from the pure elements: 0.50 eV per atom. As for the total magnetization: 0.000 μB per atom.